[1]
# SCAN LiMnSi2, PBEsol geometry
# E in eV/atom: -10.3600
# Energy above the lowest structure with this stoichiometry in eV per atom: 0.000
# Energy relative to the elements, uncorrected in eV per atom: -0.191
# Volume in Å³/cell: 45.7
# ρ in g/cm3: 4.3
# Crystal system: tetragonal
data_LiMnSi2
_symmetry_space_group_name_H-M 'P 1'
_symmetry_Int_Tables_number 1
_symmetry_space_group_name_Hall 'P 1'
_cell_length_a 3.6333
_cell_length_b 3.6333
_cell_length_c 4.3113
_cell_angle_alpha 114.92
_cell_angle_beta 114.92
_cell_angle_gamma 90.00
loop_
_atom_site_label
_atom_site_fract_x
_atom_site_fract_y
_atom_site_fract_z
Si1 0.7500 0.2500 0.5000
Si2 0.2500 0.7500 0.5000
Mn1 0.0000 0.0000 0.0000
Li1 0.5000 0.5000 0.0000

[2]
# SCAN Fe2CoSi, PBEsol geometry
# E in eV/atom: -16.2326
# Energy relative to the elements, uncorrected in eV per atom: -0.338
# Volume in Å³/cell: 42.2
# ρ in g/cm3: 7.8
# Crystal system: orthorhombic
data_Fe2CoSi
_symmetry_space_group_name_H-M 'P 1'
_symmetry_Int_Tables_number 1
_symmetry_space_group_name_Hall 'P 1'
_cell_length_a 2.8130
_cell_length_b 3.8696
_cell_length_c 3.8786
_cell_angle_alpha 90.00
_cell_angle_beta 90.00
_cell_angle_gamma 90.00
loop_
_atom_site_label
_atom_site_fract_x
_atom_site_fract_y
_atom_site_fract_z
Si1 0.5000 0.0000 0.5000
Co1 0.0000 0.5000 0.5000
Fe1 0.0000 0.0000 0.0000
Fe2 0.5000 0.5000 0.0000

[3]
# SCAN Te3Mo, PBEsol geometry
# E in eV/atom: -36.1463
# Energy relative to the elements, uncorrected in eV per atom: 0.513
# Volume in Å³/cell: 215.5
# ρ in g/cm3: 7.4
# Crystal system: tetragonal
data_Te3Mo
_symmetry_space_group_name_H-M 'P 1'
_symmetry_Int_Tables_number 1
_symmetry_space_group_name_Hall 'P 1'
_cell_length_a 4.2120
_cell_length_b 4.2120
_cell_length_c 12.5054
_cell_angle_alpha 99.70
_cell_angle_beta 99.70
_cell_angle_gamma 90.00
loop_
_atom_site_label
_atom_site_fract_x
_atom_site_fract_y
_atom_site_fract_z
Mo1 0.6815 0.6815 0.3630
Mo2 0.3185 0.3185 0.6370
Te1 0.0000 0.5000 0.0000
Te2 0.5000 0.0000 0.0000
Te3 0.7500 0.2500 0.5000
Te4 0.2500 0.7500 0.5000
Te5 0.8672 0.8672 0.7345
Te6 0.1328 0.1328 0.2655

[4]
# SCAN Sr2CdAg, PBEsol geometry
# E in eV/atom: -26.9245
# Volume in Å³/cell: 127.8
# ρ in g/cm3: 5.1
# Formation energy from the elements in eV/atom: -0.342
# Crystal system: orthorhombic
data_Sr2CdAg
_symmetry_space_group_name_H-M 'P 1'
_symmetry_Int_Tables_number 1
_symmetry_space_group_name_Hall 'P 1'
_cell_length_a 4.4495
_cell_length_b 4.8136
_cell_length_c 6.3661
_cell_angle_alpha 90.00
_cell_angle_beta 110.45
_cell_angle_gamma 90.00
loop_
_atom_site_label
_atom_site_fract_x
_atom_site_fract_y
_atom_site_fract_z
Sr1 0.1081 0.0000 0.2161
Sr2 0.3933 0.5000 0.7865
Ag1 0.8179 0.0000 0.6358
Cd1 0.6834 0.5000 0.3667

[5]
# SCAN AlRe2Rh, PBEsol geometry
# E in eV/atom: -45.8639
# Volume in Å³/cell: 56.7
# ρ in g/cm3: 14.7
# Formation energy from the elements in eV/atom: 0.066
# Crystal system: tetragonal
data_AlRe2Rh
_symmetry_space_group_name_H-M 'P 1'
_symmetry_Int_Tables_number 1
_symmetry_space_group_name_Hall 'P 1'
_cell_length_a 2.7194
_cell_length_b 4.5646
_cell_length_c 4.5646
_cell_angle_alpha 90.00
_cell_angle_beta 90.00
_cell_angle_gamma 90.00
loop_
_atom_site_label
_atom_site_fract_x
_atom_site_fract_y
_atom_site_fract_z
Re1 0.0000 0.0000 0.5000
Re2 0.0000 0.5000 0.0000
Rh1 0.5000 0.5000 0.5000
Al1 0.5000 0.0000 0.0000

[6]
# SCAN RePtSe2, PBEsol geometry
# E in eV/atom: -44.9129
# Energy above the lowest structure with this stoichiometry in eV per atom: 0.103
# Energy relative to the elements, uncorrected in eV per atom: 0.449
# Volume in Å³/cell: 69.4
# ρ in g/cm3: 12.9
# Crystal system: orthorhombic
data_RePtSe2
_symmetry_space_group_name_H-M 'P 1'
_symmetry_Int_Tables_number 1
_symmetry_space_group_name_Hall 'P 1'
_cell_length_a 2.9618
_cell_length_b 3.9710
_cell_length_c 6.3978
_cell_angle_alpha 108.08
_cell_angle_beta 103.38
_cell_angle_gamma 90.00
loop_
_atom_site_label
_atom_site_fract_x
_atom_site_fract_y
_atom_site_fract_z
Pt1 0.5643 0.5643 0.1285
Re1 0.2748 0.7748 0.5496
Se1 0.9446 0.9446 0.8891
Se2 0.7164 0.2164 0.4327

[7]
# SCAN SrEu4O5, PBEsol geometry
# E in eV/atom: -29.8515
# Energy relative to the elements, uncorrected in eV per atom: -3.024
# Volume in Å³/cell: 157.3
# ρ in g/cm3: 8.2
# Crystal system: tetragonal
data_SrEu4O5
_symmetry_space_group_name_H-M 'P 1'
_symmetry_Int_Tables_number 1
_symmetry_space_group_name_Hall 'P 1'
_cell_length_a 5.0110
_cell_length_b 6.1375
_cell_length_c 6.1375
_cell_angle_alpha 80.41
_cell_angle_beta 65.91
_cell_angle_gamma 65.91
loop_
_atom_site_label
_atom_site_fract_x
_atom_site_fract_y
_atom_site_fract_z
Sr1 0.0000 0.0000 0.0000
Eu1 0.8004 0.7997 0.5994
Eu2 0.3998 0.4006 0.7997
Eu3 0.6002 0.5994 0.2003
Eu4 0.1996 0.2003 0.4006
O1 0.5000 0.0000 0.0000
O2 0.3054 0.7967 0.5925
O3 0.8979 0.4075 0.7967
O4 0.1021 0.5925 0.2033
O5 0.6946 0.2033 0.4075

[8]
# SCAN RbNbCuS2, PBEsol geometry
# E in eV/atom: -17.2150
# Energy relative to the elements, uncorrected in eV per atom: 0.450
# Volume in Å³/cell: 109.8
# ρ in g/cm3: 4.6
# Crystal system: tetragonal
data_RbNbCuS2
_symmetry_space_group_name_H-M 'P 1'
_symmetry_Int_Tables_number 1
_symmetry_space_group_name_Hall 'P 1'
_cell_length_a 4.7379
_cell_length_b 4.8132
_cell_length_c 4.8132
_cell_angle_alpha 90.00
_cell_angle_beta 90.00
_cell_angle_gamma 90.00
loop_
_atom_site_label
_atom_site_fract_x
_atom_site_fract_y
_atom_site_fract_z
S1 0.0000 0.0000 0.5000
S2 0.0000 0.5000 0.0000
Nb1 0.5000 0.0000 0.0000
Cu1 0.0000 0.0000 0.0000
Rb1 0.5000 0.5000 0.5000